No. 1
! Cu2SnAs (PBE-GGA, optimized geometry); values from VASP
&SYSTEM
  ibrav = 0, nat = 4, ntyp = 3
/
ATOMIC_SPECIES
Cu 63.55 Cu.upf
Sn 118.71 Sn.upf
As 74.92 As.upf
CELL_PARAMETERS angstrom
1.960 1.132 5.485
-1.960 1.132 5.485
0.000 -2.263 5.485
ATOMIC_POSITIONS angstrom
Cu 0.000 0.000 3.745
Cu 0.000 0.000 12.709
Sn 0.000 0.000 0.000
As 0.000 0.000 8.227
! Polymorph energy (0 for the lowest one)   0.0090 eV/atom
! Energy   -4.09 eV per atom
! Space-group type   R-3m (166)
! Size of the total moment   0.0 μB per cell
! Formation energy from the elements   117 meV per atom



No. 2
! Cu2SnAs2 (PBE-GGA, optimized geometry); values from VASP
&SYSTEM
  ibrav = 0, nat = 5, ntyp = 3
/
ATOMIC_SPECIES
Cu 63.55 Cu.upf
Sn 118.71 Sn.upf
As 74.92 As.upf
CELL_PARAMETERS angstrom
-2.150 2.150 5.079
2.150 -2.150 5.079
2.150 2.150 -5.079
ATOMIC_POSITIONS angstrom
Cu 2.150 0.000 2.539
Cu 0.000 2.150 2.539
Sn 0.000 0.000 0.000
As 0.000 0.000 3.812
As 0.000 0.000 6.346
! Polymorph energy (0 for the lowest one)   0.0000 eV/atom
! Energy   -4.21 eV per atom
! Space-group type   I4/mmm (139)
! Size of the total moment   0.0 μB per cell
! Formation energy from the elements   87 meV per atom



No. 3
! CuSn3As (PBE-GGA, optimized geometry); values from VASP
&SYSTEM
  ibrav = 0, nat = 5, ntyp = 3
/
ATOMIC_SPECIES
Cu 63.55 Cu.upf
Sn 118.71 Sn.upf
As 74.92 As.upf
CELL_PARAMETERS angstrom
5.438 0.000 0.000
0.000 5.438 0.000
0.000 0.000 5.438
ATOMIC_POSITIONS angstrom
Cu 0.000 0.000 0.000
Sn 0.000 2.719 2.719
Sn 2.719 0.000 2.719
Sn 2.719 2.719 0.000
As 2.719 2.719 2.719
! Polymorph energy (0 for the lowest one)   0.4765 eV/atom
! Energy   -3.36 eV per atom
! Space-group type   Pm-3m (221)
! Size of the total moment   0.0 μB per cell
! Formation energy from the elements   794 meV per atom



No. 4
! CuSn2As (PBE-GGA, optimized geometry); values from VASP
&SYSTEM
  ibrav = 0, nat = 4, ntyp = 3
/
ATOMIC_SPECIES
Cu 63.55 Cu.upf
Sn 118.71 Sn.upf
As 74.92 As.upf
CELL_PARAMETERS angstrom
1.958 1.131 6.703
-1.958 1.131 6.703
0.000 -2.261 6.703
ATOMIC_POSITIONS angstrom
Cu 0.000 0.000 0.000
Sn 0.000 0.000 5.129
Sn 0.000 0.000 14.979
As 0.000 0.000 10.054
! Energy   -4.12 eV per atom
! Space-group type   R-3m (166)
! Size of the total moment   0.0 μB per cell
! Formation energy from the elements   71 meV per atom



No. 5
! Cu2Sn2As (PBE-GGA, optimized geometry); values from VASP
&SYSTEM
  ibrav = 0, nat = 10, ntyp = 3
/
ATOMIC_SPECIES
Cu 63.55 Cu.upf
Sn 118.71 Sn.upf
As 74.92 As.upf
CELL_PARAMETERS angstrom
8.161 0.000 0.000
0.000 8.161 0.000
0.000 0.000 2.962
ATOMIC_POSITIONS angstrom
Cu 0.857 3.224 0.000
Cu 3.224 7.304 0.000
Cu 4.938 0.857 0.000
Cu 7.304 4.938 0.000
Sn 1.559 5.640 1.481
Sn 2.521 1.559 1.481
Sn 5.640 6.602 1.481
Sn 6.602 2.521 1.481
As 0.000 0.000 1.481
As 4.081 4.081 1.481
! Polymorph energy (0 for the lowest one)   0.0952 eV/atom
! Energy   -3.95 eV per atom
! Space-group type   P4/mbm (127)
! Size of the total moment   0.0 μB per cell
! Formation energy from the elements   215 meV per atom



No. 6
! CuSnAs2 (PBE-GGA, optimized geometry); values from VASP
&SYSTEM
  ibrav = 0, nat = 4, ntyp = 3
/
ATOMIC_SPECIES
Cu 63.55 Cu.upf
Sn 118.71 Sn.upf
As 74.92 As.upf
CELL_PARAMETERS angstrom
1.982 1.144 7.695
-1.982 1.144 7.695
0.000 -2.288 7.695
ATOMIC_POSITIONS angstrom
Cu 0.000 0.000 0.000
Sn 0.000 0.000 11.542
As 0.000 0.000 2.284
As 0.000 0.000 20.800
! Energy   -4.06 eV per atom
! Space-group type   R-3m (166)
! Size of the total moment   0.0 μB per cell
! Formation energy from the elements   292 meV per atom



No. 7
! CuSn2As (PBE-GGA, optimized geometry); values from VASP
&SYSTEM
  ibrav = 0, nat = 8, ntyp = 3
/
ATOMIC_SPECIES
Cu 63.55 Cu.upf
Sn 118.71 Sn.upf
As 74.92 As.upf
CELL_PARAMETERS angstrom
-3.141 3.141 5.711
3.141 -3.141 5.711
3.141 3.141 -5.711
ATOMIC_POSITIONS angstrom
Cu 0.000 0.000 0.000
Cu 0.000 3.141 2.856
Sn 4.712 1.435 -1.428
Sn 1.435 1.571 1.428
Sn -1.571 1.707 4.284
Sn 1.707 1.571 7.139
As 3.141 0.000 2.856
As 0.000 0.000 5.711
! Energy   -4.06 eV per atom
! Space-group type   I-42d (122)
! Size of the total moment   0.0 μB per cell
! Formation energy from the elements   132 meV per atom



No. 8
! CuSn2As2 (PBE-GGA, optimized geometry); values from VASP
&SYSTEM
  ibrav = 0, nat = 5, ntyp = 3
/
ATOMIC_SPECIES
Cu 63.55 Cu.upf
Sn 118.71 Sn.upf
As 74.92 As.upf
CELL_PARAMETERS angstrom
-1.840 1.840 8.391
1.840 -1.840 8.391
1.840 1.840 -8.391
ATOMIC_POSITIONS angstrom
Cu 0.000 0.000 0.000
Sn 0.000 0.000 6.840
Sn 0.000 0.000 9.942
As 1.840 0.000 4.196
As 0.000 1.840 4.196
! Polymorph energy (0 for the lowest one)   0.2560 eV/atom
! Energy   -4.01 eV per atom
! Space-group type   I4/mmm (139)
! Size of the total moment   0.0 μB per cell
! Formation energy from the elements   274 meV per atom